Entry from Alexandria: RbBaHg2Cl after structural relaxation (PBE).

```
RbBaHg2Cl
1.0
6.4648 0.0000 0.0000
0.0000 12.0001 0.0000
0.0000 0.0000 6.4648
Cl Hg Rb Ba
1 2 1 1
Direct
0.5000 0.5000 0.5000 Cl
0.0000 0.0000 0.5000 Hg
0.5000 0.0000 0.0000 Hg
0.0000 0.5000 0.0000 Rb
0.0000 0.0000 0.0000 Ba
```



Entry from Alexandria: Ba6HgRh2Cl3 after structural relaxation (PBE).

```
Ba6HgRh2Cl3
1.0
4.5298 0.0000 0.0000
0.0000 9.7417 -0.0327
-2.2649 -3.2036 9.9745
Ba Hg Rh Cl
6 1 2 3
Direct
0.3308 0.8916 0.6617 Ba
0.6766 0.5629 0.3532 Ba
0.6692 0.1084 0.3383 Ba
0.0119 0.2637 0.0239 Ba
0.9881 0.7363 0.9761 Ba
0.3234 0.4371 0.6468 Ba
0.5000 0.0000 0.0000 Hg
0.8393 0.6750 0.6785 Rh
0.1607 0.3250 0.3215 Rh
0.5000 0.5000 0.0000 Cl
0.8305 0.1722 0.6610 Cl
0.1695 0.8278 0.3390 Cl
```



Entry from Alexandria: BaHg2S2Cl after structural relaxation (PBE).

```
BaHg2S2Cl
1.0
-4.1061 -5.0274 0.9492
3.6797 -4.7393 -9.1843
3.3922 -1.7958 5.1627
Ba Hg S Cl
2 4 4 2
Direct
0.7500 0.3268 0.8725 Ba
0.2500 0.6732 0.1275 Ba
0.5141 0.0880 0.2337 Hg
0.9859 0.0880 0.2337 Hg
0.0141 0.9120 0.7663 Hg
0.4859 0.9120 0.7663 Hg
0.2500 0.9871 0.3970 S
0.2500 0.7151 0.6598 S
0.7500 0.0129 0.6030 S
0.7500 0.2849 0.3402 S
0.2500 0.3728 0.9177 Cl
0.7500 0.6272 0.0823 Cl
```



Magnetic moment (computed, Bohr magnetons per cell): 0.00 0.47 0.00
VASP energy (computed, eV per atom): -1.252 -3.734 -2.950